(1)
Below is Pm2YHoTe5 after structural relaxation, with properties calculated at the PBE level.

Geometry as CIF:
```
data_Pm2YHoTe5
_cell_length_a 5.527
_cell_length_b 5.527
_cell_length_c 11.544
_cell_angle_alpha 90.00
_cell_angle_beta 90.00
_cell_angle_gamma 90.00
_symmetry_space_group_name_H-M 'P 4/m m m'
_symmetry_Int_Tables_number 123
_symmetry_space_group_name_Hall '-P 4 2'
loop_
_atom_site_label
_atom_site_fract_x
_atom_site_fract_y
_atom_site_fract_z
Pm1 0.000 0.000 0.160
Y1 0.500 0.500 0.500
Ho1 0.500 0.500 0.000
Te1 0.000 0.000 0.500
Te2 0.000 0.500 0.000
Te3 0.500 0.500 0.254
```

Properties
magnetic moment = 0.56 μB/f.u.
total energy = -4.817 eV per atom
ρ = 5.57 g/cm3
E_form (uncorrected) = -0.7890 eV/atom

(2)
Below is PmY3Ho2Te6 after structural relaxation, with properties calculated at the PBE level.

Geometry as CIF:
```
data_PmY3Ho2Te6
_cell_length_a 19.048
_cell_length_b 4.353
_cell_length_c 8.786
_cell_angle_alpha 90.00
_cell_angle_beta 102.96
_cell_angle_gamma 90.00
_symmetry_space_group_name_H-M 'C 1 2/m 1'
_symmetry_Int_Tables_number 12
loop_
_symmetry_equiv_pos_as_xyz
'x,y,z'
'-x,-y,-z'
'-x,y,-z'
'x,-y,z'
'x+1/2,y+1/2,z'
'-x+1/2,-y+1/2,-z'
'-x+1/2,y+1/2,-z'
'x+1/2,-y+1/2,z'
loop_
_atom_site_label
_atom_site_fract_x
_atom_site_fract_y
_atom_site_fract_z
Pm1 0.000 0.000 0.000
Y1 0.000 0.000 0.500
Y2 0.162 0.500 0.833
Ho1 0.164 0.500 0.329
Te1 0.002 0.500 0.257
Te2 0.169 0.000 0.582
Te3 0.171 0.000 0.087
```

Properties
magnetic moment = 0.00 μB/f.u.
total energy = -5.651 eV per atom
ρ = 7.05 g/cm3
E_form (uncorrected) = -1.3055 eV/atom

(3)
Below is Pm2YHo3Te6 after structural relaxation, with properties calculated at the PBE level.

Geometry as CIF:
```
data_Pm2YHo3Te6
_cell_length_a 19.161
_cell_length_b 4.353
_cell_length_c 8.837
_cell_angle_alpha 90.00
_cell_angle_beta 103.85
_cell_angle_gamma 90.00
_symmetry_space_group_name_H-M 'C 1 2/m 1'
_symmetry_Int_Tables_number 12
loop_
_symmetry_equiv_pos_as_xyz
'x,y,z'
'-x,-y,-z'
'-x,y,-z'
'x,-y,z'
'x+1/2,y+1/2,z'
'-x+1/2,-y+1/2,-z'
'-x+1/2,y+1/2,-z'
'x+1/2,-y+1/2,z'
loop_
_atom_site_label
_atom_site_fract_x
_atom_site_fract_y
_atom_site_fract_z
Pm1 0.169 0.000 0.337
Y1 0.000 0.500 0.000
Ho1 0.000 0.500 0.500
Ho2 0.170 0.000 0.834
Te1 0.003 0.000 0.750
Te2 0.163 0.500 0.590
Te3 0.166 0.500 0.076
```

Properties
magnetic moment = 0.00 μB/f.u.
total energy = -5.359 eV per atom
ρ = 7.61 g/cm3
E_form (uncorrected) = -1.3129 eV/atom

(4)
Below is PmYHo2Te6 after structural relaxation, with properties calculated at the PBE level.

Geometry as CIF:
```
data_PmYHo2Te6
_cell_length_a 7.7357
_cell_length_b 7.7357
_cell_length_c 21.1255
_cell_angle_alpha 90.00
_cell_angle_beta 90.00
_cell_angle_gamma 120.00
_symmetry_space_group_name_H-M 'R 3'
_symmetry_Int_Tables_number 146
_symmetry_space_group_name_Hall 'R 3'
loop_
_atom_site_label
_atom_site_fract_x
_atom_site_fract_y
_atom_site_fract_z
Pm1 0.0000 0.0000 0.0000
Y1 0.0000 0.0000 0.4980
Ho1 0.0000 0.0000 0.3113
Ho2 0.0000 0.0000 0.8128
Te1 0.0052 0.3182 0.9030
Te2 0.0132 0.6970 0.4040
```

Properties
magnetic moment = 0.00 μB/f.u.
total energy = -5.289 eV per atom
ρ = 6.05 g/cm3
E_form (uncorrected) = -1.3673 eV/atom

(5)
Below is Pm4Ho2Th3 after structural relaxation, with properties calculated at the PBE level.

Geometry as CIF:
```
data_Pm4Ho2Th3
_cell_length_a 3.5788
_cell_length_b 3.5788
_cell_length_c 26.9458
_cell_angle_alpha 90.00
_cell_angle_beta 90.00
_cell_angle_gamma 120.00
_symmetry_space_group_name_H-M 'P 3 m 1'
_symmetry_Int_Tables_number 156
loop_
_symmetry_equiv_pos_as_xyz
'x,y,z'
'-y,x-y,z'
'-x+y,-x,z'
'-y,-x,z'
'-x+y,y,z'
'x,x-y,z'
loop_
_atom_site_label
_atom_site_fract_x
_atom_site_fract_y
_atom_site_fract_z
Pm1 0.0000 0.0000 0.0000
Pm2 0.0000 0.0000 0.2182
Pm3 0.3333 0.6667 0.3327
Pm4 0.3333 0.6667 0.5529
Ho1 0.0000 0.0000 0.6614
Ho2 0.0000 0.0000 0.8747
Th1 0.0000 0.0000 0.4422
Th2 0.3333 0.6667 0.1080
Th3 0.3333 0.6667 0.7703
```

Properties
formation energy from the elements = 8.5 kJ per mole of atoms
magnetic moment = 0.00 μB/f.u.
total energy = -5.514 eV per atom
ρ = 8.92 g/cm3

(6)
Below is PmHo2Th5 after structural relaxation, with properties calculated at the PBE level.

Geometry as CIF:
```
data_PmHo2Th5
_cell_length_a 7.156
_cell_length_b 14.330
_cell_length_c 5.044
_cell_angle_alpha 90.00
_cell_angle_beta 90.00
_cell_angle_gamma 90.00
_symmetry_space_group_name_H-M 'P b a m'
_symmetry_Int_Tables_number 55
loop_
_symmetry_equiv_pos_as_xyz
'x,y,z'
'-x,-y,-z'
'-x,-y,z'
'x,y,-z'
'x+1/2,-y+1/2,-z'
'-x+1/2,y+1/2,z'
'-x+1/2,y+1/2,-z'
'x+1/2,-y+1/2,z'
loop_
_atom_site_label
_atom_site_fract_x
_atom_site_fract_y
_atom_site_fract_z
Pm1 0.000 0.000 0.000
Ho1 0.247 0.373 0.500
Th1 0.000 0.252 0.000
Th2 0.000 0.500 0.000
Th3 0.245 0.628 0.500
```

Properties
formation energy from the elements = 5.7 kJ per mole of atoms
magnetic moment = 0.00 μB/f.u.
total energy = -6.317 eV per atom
ρ = 10.50 g/cm3

(7)
Below is Pm2Ho12Th5 after structural relaxation, with properties calculated at the PBE level.

Geometry as CIF:
```
data_Pm2Ho12Th5
_cell_length_a 18.605
_cell_length_b 7.037
_cell_length_c 10.209
_cell_angle_alpha 90.00
_cell_angle_beta 112.96
_cell_angle_gamma 90.00
_symmetry_space_group_name_H-M 'C 1 2/m 1'
_symmetry_Int_Tables_number 12
loop_
_symmetry_equiv_pos_as_xyz
'x,y,z'
'-x,-y,-z'
'-x,y,-z'
'x,-y,z'
'x+1/2,y+1/2,z'
'-x+1/2,-y+1/2,-z'
'-x+1/2,y+1/2,-z'
'x+1/2,-y+1/2,z'
loop_
_atom_site_label
_atom_site_fract_x
_atom_site_fract_y
_atom_site_fract_z
Pm1 0.000 0.214 0.000
Ho1 0.002 0.000 0.329
Ho2 0.029 0.500 0.238
Ho3 0.158 0.254 0.864
Ho4 0.166 0.250 0.516
Th1 0.000 0.500 0.500
Th2 0.181 0.000 0.212
Th3 0.188 0.500 0.181
```

Properties
formation energy from the elements = 20.8 kJ per mole of atoms
magnetic moment = 0.00 μB/f.u.
energy relative to the lowest polymorph listed for this composition = 55 meV/atom
total energy = -5.129 eV per atom
ρ = 9.25 g/cm3

(8)
Below is Pm4HoTh3 after structural relaxation, with properties calculated at the PBE level.

Geometry as CIF:
```
data_Pm4HoTh3
_cell_length_a 5.081
_cell_length_b 10.177
_cell_length_c 10.265
_cell_angle_alpha 90.00
_cell_angle_beta 90.00
_cell_angle_gamma 90.00
_symmetry_space_group_name_H-M 'P m m n'
_symmetry_Int_Tables_number 59
loop_
_symmetry_equiv_pos_as_xyz
'x,y,z'
'-x,-y,-z'
'-x+1/2,-y+1/2,z'
'x+1/2,y+1/2,-z'
'x+1/2,-y,-z'
'-x+1/2,y,z'
'-x,y+1/2,-z'
'x,-y+1/2,z'
loop_
_atom_site_label
_atom_site_fract_x
_atom_site_fract_y
_atom_site_fract_z
Pm1 0.250 0.001 0.133
Pm2 0.250 0.250 0.870
Pm3 0.250 0.750 0.864
Ho1 0.250 0.750 0.381
Th1 0.250 0.250 0.380
Th2 0.250 0.502 0.619
```

Properties
formation energy from the elements = 3.2 kJ per mole of atoms
magnetic moment = 0.00 μB/f.u.
total energy = -5.696 eV per atom
ρ = 9.02 g/cm3

(9)
Below is PmHoTh2 after structural relaxation, with properties calculated at the PBE level.

Geometry as CIF:
```
data_PmHoTh2
_cell_length_a 5.017
_cell_length_b 5.017
_cell_length_c 5.149
_cell_angle_alpha 90.00
_cell_angle_beta 90.00
_cell_angle_gamma 90.00
_symmetry_space_group_name_H-M 'P 4/m m m'
_symmetry_Int_Tables_number 123
_symmetry_space_group_name_Hall '-P 4 2'
loop_
_atom_site_label
_atom_site_fract_x
_atom_site_fract_y
_atom_site_fract_z
Pm1 0.000 0.000 0.000
Ho1 0.500 0.500 0.000
Th1 0.000 0.500 0.500
```

Properties
formation energy from the elements = 6.0 kJ per mole of atoms
magnetic moment = 0.00 μB/f.u.
energy relative to the lowest polymorph listed for this composition = 33 meV/atom
total energy = -5.980 eV per atom
ρ = 9.92 g/cm3

(10)
Below is Pm2HoTh after structural relaxation, with properties calculated at the PBE level.

Geometry as CIF:
```
data_Pm2HoTh
_cell_length_a 8.097
_cell_length_b 8.097
_cell_length_c 8.097
_cell_angle_alpha 90.00
_cell_angle_beta 90.00
_cell_angle_gamma 90.00
_symmetry_space_group_name_H-M 'F m -3 m'
_symmetry_Int_Tables_number 225
_symmetry_space_group_name_Hall '-F 4 2 3'
loop_
_atom_site_label
_atom_site_fract_x
_atom_site_fract_y
_atom_site_fract_z
Pm1 0.250 0.250 0.250
Ho1 0.000 0.000 0.000
Th1 0.000 0.000 0.500
```

Properties
formation energy from the elements = 19.7 kJ per mole of atoms
magnetic moment = 0.02 μB/f.u.
energy relative to the lowest polymorph listed for this composition = 180 meV/atom
total energy = -5.170 eV per atom
ρ = 8.59 g/cm3

Question: Which value of ρ does entry 6 give?
Answer: 10.50 g/cm3

What did the third record say?
Below is Pm2YHo3Te6 after structural relaxation, with properties calculated at the PBE level.

Geometry as CIF:
```
data_Pm2YHo3Te6
_cell_length_a 19.161
_cell_length_b 4.353
_cell_length_c 8.837
_cell_angle_alpha 90.00
_cell_angle_beta 103.85
_cell_angle_gamma 90.00
_symmetry_space_group_name_H-M 'C 1 2/m 1'
_symmetry_Int_Tables_number 12
loop_
_symmetry_equiv_pos_as_xyz
'x,y,z'
'-x,-y,-z'
'-x,y,-z'
'x,-y,z'
'x+1/2,y+1/2,z'
'-x+1/2,-y+1/2,-z'
'-x+1/2,y+1/2,-z'
'x+1/2,-y+1/2,z'
loop_
_atom_site_label
_atom_site_fract_x
_atom_site_fract_y
_atom_site_fract_z
Pm1 0.169 0.000 0.337
Y1 0.000 0.500 0.000
Ho1 0.000 0.500 0.500
Ho2 0.170 0.000 0.834
Te1 0.003 0.000 0.750
Te2 0.163 0.500 0.590
Te3 0.166 0.500 0.076
```

Properties
magnetic moment = 0.00 μB/f.u.
total energy = -5.359 eV per atom
ρ = 7.61 g/cm3
E_form (uncorrected) = -1.3129 eV/atom

Question: What is the ρ in the tenth record?
Answer: 8.59 g/cm3